A plane-wave DFT calculation with PBE was carried out for Ru3C after structural relaxation.

Properties
* energy above the lowest structure with this stoichiometry: 0.650 eV per atom
* total DFT energy (no corrections): -8.2865 eV/atom

Cell lengths 5.339, 10.245, 3.789 Å; angles 90.00, 90.00, 90.00 degrees
Space group Cmcm (No. 63)
Unique sites:
Ru (0.000, 0.187, 0.250) (multiplicity 4)
Ru (0.236, 0.410, 0.250) (multiplicity 8)
C (0.000, 0.422, 0.750) (multiplicity 4)